Compound: Cu4Si2Pd
Source: Alexandria via LeMat-Bulk
Functional: GGA-PBE
Structure: relaxed

Values from the calculation:
D(E_F) ... 0.33 states/eV per atom
Space group ... No. 10
V ... 90.6 Å³ per cell
Raw formation energy ... -0.07 eV per atom

a = 2.7646 Å, b = 4.1828 Å, c = 8.1145 Å
α = 105.11°, β = 90.00°, γ = 90.00°
Atoms (fractional coordinates):
Cu 0.5000 0.8432 0.6862
Cu 0.0000 0.7028 0.4059
Cu 0.5000 0.1568 0.3138
Cu 0.0000 0.2972 0.5941
Si 0.5000 0.5755 0.1518
Si 0.5000 0.4245 0.8482
Pd 0.0000 0.0000 0.0000

=====

Compound: CuGeBi2O6
Source: Alexandria via LeMat-Bulk
Functional: GGA-PBE
Structure: relaxed

Values from the calculation:
Space group ... No. 1
V ... 127.6 Å³ per cell
Raw formation energy ... -1.15 eV per atom

a = 5.7972 Å, b = 5.7066 Å, c = 5.4879 Å
α = 61.93°, β = 62.34°, γ = 55.91°
Last column: magnetic moment on the atom in μB.
Atoms (fractional coordinates):
Cu 0.7993 0.8006 0.5734  0.57
Ge 0.3152 0.3138 0.0537  0.01
Bi 0.5248 0.5280 0.3991  0.00
Bi 0.0272 0.0288 0.9028  0.00
O 0.5781 0.1458 0.2759  0.07
O 0.1639 0.0412 0.2439  0.01
O 0.0085 0.6072 0.2451  0.06
O 0.4714 0.6116 0.8026  0.04
O 0.6493 0.0913 0.7745  0.09
O 0.1240 0.4932 0.7442  0.09

=====

Compound: Tb2PmAl2Zn2
Source: Alexandria via LeMat-Bulk
Functional: GGA-PBE
Structure: relaxed

Values from the calculation:
D(E_F) ... 0.51 states/eV per atom
Space group ... No. 166
V ... 164.2 Å³ per cell
Formation energy ... -314 meV/atom

a = 4.5360 Å, b = 4.5360 Å, c = 9.5816 Å
α = 76.31°, β = 76.31°, γ = 60.00°
Atoms (fractional coordinates):
Tb 0.1284 0.1284 0.6147
Tb 0.8716 0.8716 0.3853
Pm 0.0000 0.0000 0.0000
Al 0.7386 0.7386 0.7842
Al 0.2614 0.2614 0.2158
Zn 0.5973 0.5973 0.2081
Zn 0.4027 0.4027 0.7919

=====

Compound: ErBi4
Source: Alexandria via LeMat-Bulk
Functional: GGA-PBE
Structure: relaxed

Values from the calculation:
D(E_F) ... 1.14 states/eV per atom
Space group ... No. 221
V ... 198.3 Å³ per cell
Formation energy ... 402 meV/atom

a = 5.8313 Å, b = 5.8313 Å, c = 5.8313 Å
α = 90.00°, β = 90.00°, γ = 90.00°
Atoms (fractional coordinates):
Bi 0.0000 0.0000 0.0000
Bi 0.5000 0.0000 0.5000
Bi 0.0000 0.5000 0.5000
Bi 0.5000 0.5000 0.0000
Er 0.5000 0.5000 0.5000

=====

Compound: Y2RuPt
Source: Alexandria via LeMat-Bulk
Functional: GGA-PBE
Structure: relaxed

Values from the calculation:
D(E_F) ... 1.16 states/eV per atom
Space group ... No. 71
V ... 85.3 Å³ per cell
Formation energy ... 450 meV/atom

a = 6.1353 Å, b = 6.1353 Å, c = 6.1353 Å
α = 59.46°, β = 151.37°, γ = 129.08°
Atoms (fractional coordinates):
Y 0.0000 0.2446 0.2446
Y 0.0000 0.7554 0.7554
Ru 0.0000 0.0000 0.0000
Pt 0.0000 0.5000 0.5000

=====

Compound: CaGa4O7
Source: Alexandria via LeMat-Bulk
Functional: GGA-PBE
Structure: relaxed

Values from the calculation:
D(E_F) ... 0.00 states/eV per atom
Relative energy among the computed polymorphs ... 0.000 eV per atom
Space group ... No. 15
V ... 336.5 Å³ per cell
Raw formation energy ... -2.10 eV per atom

a = 8.0809 Å, b = 8.0809 Å, c = 5.6796 Å
α = 78.15°, β = 78.15°, γ = 69.56°
Atoms (fractional coordinates):
Ca 0.7082 0.2918 0.2500
Ca 0.2918 0.7082 0.7500
Ga 0.2554 0.4247 0.3149
Ga 0.5753 0.7446 0.1851
Ga 0.9436 0.8142 0.2459
Ga 0.1858 0.0564 0.2541
Ga 0.0564 0.1858 0.7541
Ga 0.8142 0.9436 0.7459
Ga 0.4247 0.2554 0.8149
Ga 0.7446 0.5753 0.6851
O 0.0354 0.9646 0.7500
O 0.9646 0.0354 0.2500
O 0.1381 0.6358 0.1357
O 0.3642 0.8619 0.3643
O 0.8619 0.3642 0.8643
O 0.6358 0.1381 0.6357
O 0.6812 0.5471 0.4037
O 0.4529 0.3188 0.0963
O 0.3188 0.4529 0.5963
O 0.5471 0.6812 0.9037
O 0.7460 0.8683 0.0804
O 0.1317 0.2540 0.4196
O 0.2540 0.1317 0.9196
O 0.8683 0.7460 0.5804